Arrangement a

Material: CaWAu
Method: DFT, PBE-GGA
State: relaxed

Computed properties:
Its space group is P-6m2 (187). The size of the total moment is 0.00 μB per cell. As for the crystal system: hexagonal.

Lattice parameters (Å, degrees): 4.886 4.886 2.915 90.00 90.00 120.00
Fractional coordinates of all 3 atoms:
Au 0.000 0.000 0.834
W 0.333 0.667 0.833
Ca 0.667 0.333 0.333

Arrangement b

Material: CaWAu
Method: DFT, PBE-GGA
State: relaxed

Computed properties:
Its space group is F-43m (216). The size of the total moment is 2.38 μB per cell. As for the crystal system: cubic.

Lattice parameters (Å, degrees): 4.691 4.691 4.691 60.00 60.00 60.00
Site moments in Bohr magnetons follow the coordinates.
Fractional coordinates of all 3 atoms:
Ca 0.000 0.000 0.000  0.04
Au 0.750 0.750 0.750  0.10
W 0.500 0.500 0.500  1.69

Which of them is least stable? Easy: arrangement b.

Arrangement a

Material: CaWAu2
Method: DFT, PBE-GGA
State: relaxed

Computed properties:
Its space group is I-42d (122). The size of the total moment is 0.00 μB per cell. As for the crystal system: tetragonal.

Lattice parameters (Å, degrees): 5.044 5.044 9.038 73.80 73.80 90.00
Fractional coordinates of all 8 atoms:
Au 0.875 0.956 0.750
Au 0.706 0.125 0.250
Au 0.044 0.625 0.250
Au 0.375 0.294 0.750
W 0.000 0.000 0.000
W 0.750 0.250 0.500
Ca 0.500 0.500 0.000
Ca 0.250 0.750 0.500

Arrangement b

Material: CaWAu2
Method: DFT, PBE-GGA
State: relaxed

Computed properties:
Its space group is Fm-3m (225). The size of the total moment is 2.20 μB per cell. As for the crystal system: cubic.

Lattice parameters (Å, degrees): 4.836 4.836 4.836 60.00 60.00 60.00
Site moments in Bohr magnetons follow the coordinates.
Fractional coordinates of all 4 atoms:
W 0.500 0.500 0.500  1.61
Au 0.250 0.250 0.250  0.06
Au 0.750 0.750 0.750  0.06
Ca 0.000 0.000 0.000  0.03

Which of them is least stable? Easy: arrangement a.

Arrangement a

Material: CaW3Au
Method: DFT, PBE-GGA
State: relaxed

Computed properties:
Its space group is Pm-3m (221). The size of the total moment is 0.00 μB per cell. As for the crystal system: cubic.

Lattice parameters (Å, degrees): 4.949 4.949 4.949 90.00 90.00 90.00
Fractional coordinates of all 5 atoms:
W 0.500 0.000 0.000
W 0.000 0.000 0.500
W 0.000 0.500 0.000
Au 0.000 0.000 0.000
Ca 0.500 0.500 0.500

Arrangement b

Material: CaW3Au
Method: DFT, PBE-GGA
State: relaxed

Computed properties:
Its space group is Pm-3m (221). The size of the total moment is 0.00 μB per cell. As for the crystal system: cubic.

Lattice parameters (Å, degrees): 4.602 4.602 4.602 90.00 90.00 90.00
Fractional coordinates of all 5 atoms:
W 0.000 0.500 0.000
W 0.500 0.000 0.000
W 0.000 0.000 0.500
Ca 0.000 0.000 0.000
Au 0.500 0.500 0.500

Which of them is least stable? Easy: arrangement b.

Arrangement a

Material: CaY2Au
Method: DFT, PBE-GGA
State: relaxed

Computed properties:
Its space group is Fm-3m (225). The size of the total moment is 0.00 μB per cell. As for the crystal system: cubic.

Lattice parameters (Å, degrees): 5.351 5.351 5.351 60.00 60.00 60.00
Fractional coordinates of all 4 atoms:
Y 0.750 0.750 0.750
Y 0.250 0.250 0.250
Au 0.500 0.500 0.500
Ca 0.000 0.000 0.000

Arrangement b

Material: CaY2Au
Method: DFT, PBE-GGA
State: relaxed

Computed properties:
Its space group is Cmcm (63). The size of the total moment is 0.00 μB per cell. As for the crystal system: orthorhombic.

Lattice parameters (Å, degrees): 4.088 6.599 9.279 90.00 90.00 108.09
Fractional coordinates of all 8 atoms:
Ca 0.943 0.886 0.250
Ca 0.057 0.114 0.750
Y 0.642 0.284 0.054
Y 0.642 0.284 0.446
Y 0.358 0.716 0.554
Y 0.358 0.716 0.946
Au 0.759 0.519 0.750
Au 0.241 0.481 0.250

Which of them is least stable? Easy: arrangement a.

Arrangement a

Material: CaY2Au
Method: DFT, PBE-GGA
State: relaxed

Computed properties:
Its space group is R-3m (166). The size of the total moment is 0.00 μB per cell. As for the crystal system: trigonal.

Lattice parameters (Å, degrees): 10.300 10.300 10.300 21.79 21.79 21.79
Fractional coordinates of all 4 atoms:
Y 0.979 0.979 0.979
Y 0.521 0.521 0.521
Au 0.250 0.250 0.250
Ca 0.750 0.750 0.750

Arrangement b

Material: CaY2Au
Method: DFT, PBE-GGA
State: relaxed

Computed properties:
Its space group is C2/m (12). The size of the total moment is 0.00 μB per cell. As for the crystal system: monoclinic.

Lattice parameters (Å, degrees): 5.832 6.393 3.516 77.38 82.88 114.97
Fractional coordinates of all 4 atoms:
Y 0.000 0.000 0.000
Y 0.500 0.000 0.500
Ca 0.500 0.500 0.000
Au 0.000 0.500 0.500

Which of them is least stable? Easy: arrangement b.

Arrangement a

Material: CaYAu4
Method: DFT, PBE-GGA
State: relaxed

Computed properties:
Its space group is Pm (6). The size of the total moment is 0.00 μB per cell. As for the crystal system: monoclinic.

Lattice parameters (Å, degrees): 3.821 4.843 7.358 89.99 74.93 90.00
Fractional coordinates of all 6 atoms:
Au 0.685 0.497 0.380
Au 0.815 0.997 0.121
Au 0.481 0.997 0.788
Au 0.025 0.497 0.702
Ca 0.356 0.497 0.041
Y 0.146 0.997 0.457

Arrangement b

Material: CaYAu4
Method: DFT, PBE-GGA
State: relaxed

Computed properties:
Its space group is P4/mmm (123). The size of the total moment is 0.00 μB per cell. As for the crystal system: tetragonal.

Lattice parameters (Å, degrees): 3.971 9.300 3.974 90.00 90.00 90.00
Fractional coordinates of all 6 atoms:
Au 0.500 0.243 0.000
Au 0.000 0.243 0.500
Au 0.000 0.757 0.500
Au 0.500 0.757 0.000
Ca 0.500 0.500 0.500
Y 0.000 0.000 0.000

Arrangement c

Material: CaYAu4
Method: DFT, PBE-GGA
State: relaxed

Computed properties:
Its space group is F-43m (216). The size of the total moment is 0.00 μB per cell. As for the crystal system: cubic.

Lattice parameters (Å, degrees): 5.679 5.679 5.679 60.00 60.00 60.00
Fractional coordinates of all 6 atoms:
Ca 0.750 0.750 0.750
Au 0.874 0.375 0.375
Au 0.375 0.375 0.375
Au 0.375 0.874 0.375
Au 0.375 0.375 0.874
Y 0.000 0.000 0.000

Which of them is least stable? Easy: arrangement b.

Arrangement a

Material: CaYAu3
Method: DFT, PBE-GGA
State: relaxed

Computed properties:
Its space group is Pm-3m (221). The size of the total moment is 0.00 μB per cell. As for the crystal system: cubic.

Lattice parameters (Å, degrees): 5.382 5.382 5.382 90.00 90.00 90.00
Fractional coordinates of all 5 atoms:
Y 0.000 0.000 0.000
Au 0.500 0.000 0.000
Au 0.000 0.000 0.500
Au 0.000 0.500 0.000
Ca 0.500 0.500 0.500

Arrangement b

Material: CaYAu3
Method: DFT, PBE-GGA
State: relaxed

Computed properties:
Its space group is Pm-3m (221). The size of the total moment is 0.00 μB per cell. As for the crystal system: cubic.

Lattice parameters (Å, degrees): 5.192 5.192 5.192 90.00 90.00 90.00
Fractional coordinates of all 5 atoms:
Y 0.500 0.500 0.500
Au 0.500 0.000 0.000
Au 0.000 0.000 0.500
Au 0.000 0.500 0.000
Ca 0.000 0.000 0.000

Which of them is least stable? Easy: arrangement b.

Arrangement a

Material: CaY2Au2
Method: DFT, PBE-GGA
State: relaxed

Computed properties:
Its space group is P4/mbm (127). The size of the total moment is 0.00 μB per cell. As for the crystal system: tetragonal.

Lattice parameters (Å, degrees): 8.623 8.623 3.419 90.00 90.00 90.00
Fractional coordinates of all 10 atoms:
Y 0.860 0.640 0.000
Y 0.360 0.860 0.000
Y 0.640 0.140 0.000
Y 0.140 0.360 0.000
Ca 0.500 0.500 0.000
Ca 0.000 0.000 0.000
Au 0.656 0.844 0.500
Au 0.344 0.156 0.500
Au 0.156 0.656 0.500
Au 0.844 0.344 0.500

Arrangement b

Material: CaY2Au2
Method: DFT, PBE-GGA
State: relaxed

Computed properties:
Its space group is I4/mmm (139). The size of the total moment is 0.00 μB per cell. As for the crystal system: tetragonal.

Lattice parameters (Å, degrees): 4.940 4.940 6.825 68.78 68.78 90.00
Fractional coordinates of all 5 atoms:
Y 0.250 0.750 0.500
Y 0.750 0.250 0.500
Au 0.615 0.615 0.769
Au 0.385 0.385 0.231
Ca 0.000 0.000 0.000

Arrangement c

Material: CaY2Au2
Method: DFT, PBE-GGA
State: relaxed

Computed properties:
Its space group is P4/mbm (127). The size of the total moment is 0.00 μB per cell. As for the crystal system: tetragonal.

Lattice parameters (Å, degrees): 8.269 8.269 3.831 90.00 90.00 90.00
Fractional coordinates of all 10 atoms:
Au 0.638 0.138 0.000
Au 0.138 0.362 0.000
Au 0.862 0.638 0.000
Au 0.362 0.862 0.000
Y 0.845 0.345 0.500
Y 0.655 0.845 0.500
Y 0.155 0.655 0.500
Y 0.345 0.155 0.500
Ca 0.000 0.000 0.000
Ca 0.500 0.500 0.000

Which of them is least stable? Easy: arrangement b.

Arrangement a

Material: Ca2Zn5Au3
Method: DFT, PBE-GGA
State: relaxed

Computed properties:
Its space group is P-4m2 (115). The size of the total moment is 0.00 μB per cell. As for the crystal system: tetragonal.

Lattice parameters (Å, degrees): 4.047 4.047 12.272 90.00 90.00 90.00
Fractional coordinates of all 10 atoms:
Au 0.000 0.000 0.500
Au 0.500 0.000 0.661
Au 0.000 0.500 0.339
Ca 0.500 0.000 0.241
Ca 0.000 0.500 0.759
Zn 0.500 0.000 0.870
Zn 0.000 0.500 0.130
Zn 0.500 0.500 0.500
Zn 0.000 0.000 0.000
Zn 0.500 0.500 0.000

Arrangement b

Material: Ca2Zn5Au3
Method: DFT, PBE-GGA
State: relaxed

Computed properties:
Its space group is Cmc2_1 (36). The size of the total moment is 0.00 μB per cell. As for the crystal system: orthorhombic.

Lattice parameters (Å, degrees): 4.527 6.988 12.664 90.00 100.29 90.00
Fractional coordinates of all 20 atoms:
Au 0.229 0.198 0.459
Au 0.392 0.034 0.784
Au 0.053 0.974 0.105
Au 0.771 0.698 0.541
Au 0.947 0.474 0.895
Au 0.608 0.534 0.216
Ca 0.176 0.722 0.351
Ca 0.517 0.260 0.033
Ca 0.483 0.760 0.967
Ca 0.824 0.222 0.649
Zn 0.708 0.009 0.417
Zn 0.877 0.768 0.753
Zn 0.295 0.893 0.590
Zn 0.948 0.075 0.895
Zn 0.607 0.933 0.215
Zn 0.123 0.268 0.247
Zn 0.292 0.509 0.583
Zn 0.705 0.393 0.410
Zn 0.052 0.575 0.105
Zn 0.393 0.433 0.785

Which of them is least stable? Easy: arrangement a.

Arrangement a

Material: CaZn9Au2
Method: DFT, PBE-GGA
State: relaxed

Computed properties:
Its space group is P6/mmm (191). The size of the total moment is 0.00 μB per cell. As for the crystal system: hexagonal.

Lattice parameters (Å, degrees): 3.177 8.737 8.737 120.00 90.00 90.00
Fractional coordinates of all 12 atoms:
Zn 0.500 0.818 0.636
Zn 0.500 0.636 0.818
Zn 0.000 0.000 0.500
Zn 0.500 0.182 0.818
Zn 0.500 0.182 0.364
Zn 0.000 0.500 0.000
Zn 0.000 0.500 0.500
Zn 0.500 0.364 0.182
Zn 0.500 0.818 0.182
Au 0.000 0.667 0.333
Au 0.000 0.333 0.667
Ca 0.000 0.000 0.000

Arrangement b

Material: CaZn9Au2
Method: DFT, PBE-GGA
State: relaxed

Computed properties:
Its space group is I4_1/amd (141). The size of the total moment is 0.00 μB per cell. As for the crystal system: tetragonal.

Lattice parameters (Å, degrees): 6.998 8.411 8.411 80.03 65.42 65.42
Fractional coordinates of all 24 atoms:
Au 0.875 0.250 0.250
Au 0.875 0.750 0.250
Au 0.875 0.250 0.750
Au 0.375 0.750 0.750
Zn 0.160 0.412 0.170
Zn 0.590 0.330 0.088
Zn 0.670 0.170 0.588
Zn 0.000 0.000 0.000
Zn 0.743 0.830 0.588
Zn 0.323 0.088 0.670
Zn 0.080 0.330 0.912
Zn 0.007 0.912 0.670
Zn 0.590 0.088 0.330
Zn 0.670 0.588 0.170
Zn 0.160 0.170 0.412
Zn 0.427 0.830 0.412
Zn 0.007 0.670 0.912
Zn 0.743 0.588 0.830
Zn 0.080 0.912 0.330
Zn 0.750 0.500 0.500
Zn 0.427 0.412 0.830
Zn 0.323 0.670 0.088
Ca 0.500 0.000 0.000
Ca 0.250 0.500 0.500

Which of them is least stable? Easy: arrangement a.

Arrangement a

Material: CaZn6Au2
Method: DFT, PBE-GGA
State: relaxed

Computed properties:
Its space group is P4/mmm (123). The size of the total moment is 0.00 μB per cell. As for the crystal system: tetragonal.

Lattice parameters (Å, degrees): 3.929 3.929 10.497 90.00 90.00 90.00
Fractional coordinates of all 9 atoms:
Zn 0.500 0.500 0.500
Zn 0.000 0.500 0.311
Zn 0.500 0.000 0.311
Zn 0.000 0.000 0.500
Zn 0.500 0.000 0.689
Zn 0.000 0.500 0.689
Au 0.500 0.500 0.866
Au 0.500 0.500 0.134
Ca 0.000 0.000 0.000

Arrangement b

Material: CaZn6Au2
Method: DFT, PBE-GGA
State: relaxed

Computed properties:
Its space group is Immm (71). The size of the total moment is 0.00 μB per cell. As for the crystal system: orthorhombic.

Lattice parameters (Å, degrees): 4.197 7.263 7.263 52.87 73.21 73.21
Fractional coordinates of all 9 atoms:
Ca 0.000 0.000 0.000
Zn 0.308 0.401 0.983
Zn 0.308 0.983 0.401
Zn 0.692 0.017 0.599
Zn 0.500 0.687 0.313
Zn 0.500 0.313 0.687
Zn 0.692 0.599 0.017
Au 0.879 0.621 0.621
Au 0.121 0.379 0.379

Which of them is least stable? Easy: arrangement b.